CoGe2PbO6: optimized geometry, GGA+U.

extended XYZ file:
```
10
Lattice="2.776 1.603 4.889 -2.776 1.603 4.889 0.000 -3.206 4.889" Properties=species:S:1:pos:R:3 pbc="T T T"
Co 0.000 0.000 0.000
Ge 0.000 0.000 3.889
Ge 0.000 0.000 10.779
Pb 0.000 0.000 7.334
O -2.095 -0.024 5.993
O -1.027 -1.827 8.675
O 1.069 -1.803 5.993
O -1.069 1.803 8.675
O 1.027 1.827 5.993
O 2.095 0.024 8.675
```

Output
Final energy ... -5.97 eV per atom